(1)
Below is a relaxed BeOs2C crystal, with properties calculated at the PBE-GGA level.

The value obtained for the offset from the most stable computed form is 0 meV/atom.

The space group is Fm-3m (No. 225) and the conventional cell measures 5.500, 5.500 and 5.500 Å, with angles of 90.00, 90.00 and 90.00 degrees. The inequivalent atoms are Be at (0.000, 0.000, 0.000), Os at (0.250, 0.250, 0.250) and C at (0.000, 0.000, 0.500).



(2)
Below is a relaxed BeOs3C crystal, with properties calculated at the PBE-GGA level.

The value obtained for the offset from the most stable computed form is 0 meV/atom.

The space group is Pm-3m (No. 221) and the conventional cell measures 4.002, 4.002 and 4.002 Å, with angles of 90.00, 90.00 and 90.00 degrees. The inequivalent atoms are Be at (0.000, 0.000, 0.000), Os at (0.000, 0.500, 0.500) and C at (0.500, 0.500, 0.500).



(3)
Below is a relaxed BeOs2C crystal, with properties calculated at the PBE-GGA level.

The value obtained for the offset from the most stable computed form is 226 meV/atom.

The space group is I-42d (No. 122) and the conventional cell measures 4.394, 4.394 and 11.055 Å, with angles of 90.00, 90.00 and 90.00 degrees. The inequivalent atoms are Be at (0.000, 0.000, 0.000), Os at (0.205, 0.250, 0.625) and C at (0.000, 0.000, 0.500).



(4)
Below is a relaxed BeOsC2 crystal, with properties calculated at the PBE-GGA level.

The space group is I-42d (No. 122) and the conventional cell measures 4.446, 4.446 and 8.854 Å, with angles of 90.00, 90.00 and 90.00 degrees. The inequivalent atoms are Be at (0.000, 0.000, 0.000), Os at (0.000, 0.000, 0.500) and C at (0.244, 0.250, 0.125).



(5)
Below is a relaxed PaBeOsC crystal, with properties calculated at the PBE-GGA level.

The space group is P4/nmm (No. 129, origin choice 2) and the conventional cell measures 3.676, 3.676 and 8.354 Å, with angles of 90.00, 90.00 and 90.00 degrees. The inequivalent atoms are Pa at (0.250, 0.250, 0.161), Be at (0.250, 0.250, 0.676), Os at (0.250, 0.750, 0.500) and C at (0.250, 0.250, 0.883).



(6)
Below is a relaxed BeOsPbC2 crystal, with properties calculated at the PBE-GGA level.

The space group is P4/mmm (No. 123) and the conventional cell measures 3.883, 3.883 and 5.978 Å, with angles of 90.00, 90.00 and 90.00 degrees. The inequivalent atoms are Be at (0.000, 0.000, 0.000), Os at (0.500, 0.500, 0.500), Pb at (0.500, 0.500, 0.000) and C at (0.000, 0.500, 0.500).



no.,formation energy (eV per atom),M_tot (Bohr magnetons per cell)
1,0.868,0.00
2,0.616,0.00
3,1.094,0.00
4,0.774,0.00
5,-0.275,0.00
6,1.475,0.00